DFT (PBE) results for ReNi3Mo after structural relaxation.

Lattice parameters (Å, degrees): 13.328 4.212 4.583 90.00 93.75 90.00
Space group C2/m (No. 12)
Inequivalent atoms, fractional coordinates:
Re (0.241, 0.000, 0.163)
Ni (0.041, 0.000, 0.244)
Ni (0.149, 0.500, 0.319)
Ni (0.158, 0.000, 0.648)
Mo (0.060, 0.500, 0.794)

Energy relative to the lowest polymorph listed for this composition = 0 meV per atom
M_tot = 0.000 μB/atom

***

DFT (PBE) results for KTlAg2 after structural relaxation.

Lattice parameters (Å, degrees): 3.471 4.239 7.621 90.00 90.40 90.00
Space group P2/m (No. 10)
Inequivalent atoms, fractional coordinates:
K (0.000, 0.000, 0.000)
Tl (0.000, 0.000, 0.500)
Ag (0.500, 0.500, 0.305)

Energy relative to the lowest polymorph listed for this composition = 113 meV per atom
M_tot = 0.000 μB/atom

***

no.,E_form (eV/atom)
1,0.0663
2,0.1213